Version 1
DFT (PBEsol) results for a relaxed structure of TaAl2Cl.

```
TaAl2Cl
1.0
3.0528 -3.8970 0.0000
3.0528 3.8970 0.0000
0.0000 0.0000 2.8624
Ta Al Cl
1 2 1
Direct
0.0000 0.0000 0.0000
0.0000 0.5000 0.5000
0.5000 0.0000 0.5000
0.5000 0.5000 0.0000
```

Values from the calculation:
Space-group type   Cmmm (65)

Version 2
DFT (PBEsol) results for a relaxed structure of TaAl2Cl.

```
TaAl2Cl
1.0
0.0000 3.2964 3.2964
3.2964 0.0000 3.2964
3.2964 3.2964 0.0000
Ta Al Cl
1 2 1
Direct
0.0000 0.0000 0.0000
0.2500 0.2500 0.2500
0.7500 0.7500 0.7500
0.5000 0.5000 0.5000
```

Values from the calculation:
Space-group type   Fm-3m (225)

Preferred: version 1; penalty for the next structure: 662 meV per atom.

Version 1
DFT (PBEsol) results for a relaxed structure of AlTc2Cl.

```
AlTc2Cl
1.0
4.3183 0.0000 0.0000
0.0000 4.3183 0.0000
0.0000 0.0000 2.9229
Al Tc Cl
1 2 1
Direct
0.0000 0.0000 0.0000
0.0000 0.5000 0.5000
0.5000 0.0000 0.5000
0.5000 0.5000 0.0000
```

Values from the calculation:
Space-group type   P4/mmm (123)

Version 2
DFT (PBEsol) results for a relaxed structure of AlTc2Cl.

```
AlTc2Cl
1.0
0.0000 3.0277 3.0277
3.0277 0.0000 3.0277
3.0277 3.0277 0.0000
Al Tc Cl
1 2 1
Direct
0.0000 0.0000 0.0000
0.2500 0.2500 0.2500
0.7500 0.7500 0.7500
0.5000 0.5000 0.5000
```

Values from the calculation:
Space-group type   Fm-3m (225)

Preferred: version 1; penalty for the next structure: 155 meV per atom.

Version 1
DFT (PBEsol) results for a relaxed structure of AlTeCl2.

```
AlTeCl2
1.0
3.1511 -4.3429 0.0000
3.1511 4.3429 0.0000
0.0000 0.0000 3.1637
Al Te Cl
1 1 2
Direct
0.0000 0.0000 0.0000
0.5000 0.5000 0.0000
0.0000 0.5000 0.5000
0.5000 0.0000 0.5000
```

Values from the calculation:
Space-group type   Cmmm (65)

Version 2
DFT (PBEsol) results for a relaxed structure of AlTeCl2.

```
AlTeCl2
1.0
-2.1528 2.1528 4.5580
2.1528 -2.1528 4.5580
2.1528 2.1528 -4.5580
Al Te Cl
1 1 2
Direct
0.0000 0.0000 0.0000
0.5000 0.5000 0.0000
0.2500 0.7500 0.5000
0.7500 0.2500 0.5000
```

Values from the calculation:
Space-group type   I4/mmm (139)

Preferred: version 1; penalty for the next structure: 6 meV per atom.

Version 1
DFT (PBEsol) results for a relaxed structure of AlTlCl2.

```
AlTlCl2
1.0
5.1854 0.0000 0.0000
0.0000 5.1854 0.0000
0.0000 0.0000 3.6563
Al Tl Cl
1 1 2
Direct
0.0000 0.0000 0.0000
0.5000 0.5000 0.0000
0.0000 0.5000 0.5000
0.5000 0.0000 0.5000
```

Values from the calculation:
Space-group type   P4/mmm (123)

Version 2
DFT (PBEsol) results for a relaxed structure of AlTlCl2.

```
AlTlCl2
1.0
-1.7014 2.4001 6.2186
1.7014 -2.4001 6.2186
1.7014 2.4001 -6.2186
Al Tl Cl
1 1 2
Direct
0.0000 0.0000 0.0000
0.7942 0.2942 0.5000
0.1450 0.6450 0.5000
0.4585 0.4585 0.0000
```

Values from the calculation:
Space-group type   Imm2 (44)

Version 3
DFT (PBEsol) results for a relaxed structure of AlTlCl2.

```
AlTlCl2
1.0
3.9142 0.0000 0.0000
0.0000 3.9142 0.0000
0.0000 0.0000 6.5673
Al Tl Cl
1 1 2
Direct
0.0000 0.0000 0.0000
0.5000 0.5000 0.6012
0.0000 0.0000 0.3554
0.5000 0.5000 0.0718
```

Values from the calculation:
Space-group type   P4mm (99)

Preferred: version 3; penalty for the next structure: 36 meV per atom.